[1]
Below is ErLuScIr after structural relaxation, with properties calculated at the PBE level.

The space group is F-43m (No. 216) and the conventional cell measures 7.032, 7.032 and 7.032 Å, with angles of 90.00, 90.00 and 90.00 degrees. The inequivalent atoms are Er at (0.000, 0.000, 0.000), Lu at (0.000, 0.000, 0.500), Sc at (0.250, 0.250, 0.250) and Ir at (0.250, 0.250, 0.750).

Its formation enthalpy at 0 K is -329 meV per atom.


[2]
Below is Li7Ca3Hg4 after structural relaxation, with properties calculated at the PBE level.

The space group is C2/m (No. 12) and the conventional cell measures 16.564, 4.627 and 10.455 Å, with angles of 90.00, 126.28 and 90.00 degrees. The inequivalent atoms are Li at (0.000, 0.000, 0.000), Li at (0.011, 0.500, 0.802), Li at (0.157, 0.000, 0.923), Li at (0.179, 0.500, 0.515), Ca at (0.000, 0.000, 0.500), Ca at (0.197, 0.500, 0.209), Hg at (0.110, 0.000, 0.323) and Hg at (0.160, 0.500, 0.767).

Its formation enthalpy at 0 K is -318 meV per atom.


[3]
Below is Rb2Ga3Sn9 after structural relaxation, with properties calculated at the PBE level.

The space group is C2/c (No. 15) and the conventional cell measures 15.061, 8.911 and 13.707 Å, with angles of 90.00, 107.83 and 90.00 degrees. The inequivalent atoms are Rb at (0.170, 0.069, 0.250), Ga at (0.114, 0.142, 0.496), Ga at (0.250, 0.250, 0.000), Sn at (0.000, 0.373, 0.250), Sn at (0.039, 0.151, 0.927), Sn at (0.085, 0.425, 0.064), Sn at (0.104, 0.328, 0.766) and Sn at (0.186, 0.412, 0.436).

Its formation enthalpy at 0 K is -39 meV per atom.


[4]
Below is ScNi3H after structural relaxation, with properties calculated at the PBE level.

The space group is C2/m (No. 12) and the conventional cell measures 12.025, 3.620 and 6.010 Å, with angles of 90.00, 116.50 and 90.00 degrees. The inequivalent atoms are Sc at (0.139, 0.000, 0.255), Ni at (0.060, 0.500, 0.885), Ni at (0.102, 0.500, 0.527), Ni at (0.202, 0.000, 0.830) and H at (0.199, 0.500, 0.846).

The distance to the lowest polymorph of the same formula is 0.208 eV/atom.


[5]
Below is Li2B3C3 after structural relaxation, with properties calculated at the PBE level.

The space group is R32 (No. 155, hexagonal axes) and the conventional cell measures 4.7117, 4.7117 and 21.5492 Å, with angles of 90.00, 90.00 and 120.00 degrees. The inequivalent atoms are Li at (0.0000, 0.0000, 0.0836), Li at (0.0000, 0.0000, 0.2496), B at (0.0000, 0.3348, 0.0000), B at (0.0000, 0.6703, 0.5000), C at (0.0000, 0.3364, 0.5000) and C at (0.0000, 0.6682, 0.0000).

Its formation enthalpy at 0 K is -177 meV per atom. The distance to the lowest polymorph of the same formula is 0.001 eV/atom.


[6]
Below is Ho5Rh3 after structural relaxation, with properties calculated at the PBE level.

The space group is P6_3/mcm (No. 193) and the conventional cell measures 8.2164, 8.2164 and 6.2726 Å, with angles of 90.00, 90.00 and 120.00 degrees. The inequivalent atoms are Ho at (0.0000, 0.2499, 0.2500), Ho at (0.3333, 0.6667, 0.0000) and Rh at (0.0000, 0.3971, 0.7500).

Its formation enthalpy at 0 K is -742 meV per atom. The distance to the lowest polymorph of the same formula is 0.030 eV/atom.